# 1
A relaxed structure of AcGdSbPt, computed with PBE.

Density of states at the Fermi level: 6.4 states/eV/cell
Formation energy without anion corrections: -0.855 eV/atom

Lattice parameters (Å, degrees): 5.406 5.406 5.406 60.00 60.00 60.00
Atoms (fractional coordinates):
Sb 0.250 0.250 0.250
Ac 0.000 0.000 0.000
Gd 0.500 0.500 0.500
Pt 0.750 0.750 0.750



# 2
A relaxed structure of ZrReRu2, computed with PBE.

Density of states at the Fermi level: 4.9 states/eV/cell
Distance to the lowest polymorph of the same formula: 119 meV per atom

Lattice parameters (Å, degrees): 2.870 3.850 5.870 90.00 90.00 90.00
Atoms (fractional coordinates):
Re 0.500 0.500 0.791
Zr 0.000 0.000 0.488
Ru 0.000 0.000 0.988
Ru 0.500 0.500 0.233



# 3
A relaxed structure of ZnCr4Au, computed with PBE.

Density of states at the Fermi level: 7.4 states/eV/cell

Lattice parameters (Å, degrees): 4.829 4.829 4.829 60.00 60.00 60.00
Atoms (fractional coordinates):
Cr 0.379 0.864 0.379
Cr 0.864 0.379 0.379
Cr 0.379 0.379 0.379
Cr 0.379 0.379 0.864
Zn 0.750 0.750 0.750
Au 0.000 0.000 0.000



# 4
A relaxed structure of Tb3PrGa4, computed with PBE.

Density of states at the Fermi level: 5.0 states/eV/cell
Distance to the lowest polymorph of the same formula: 127 meV per atom

Lattice parameters (Å, degrees): 3.569 6.842 9.311 111.53 101.05 90.00
Atoms (fractional coordinates):
Tb 0.797 0.797 0.593
Tb 0.203 0.203 0.407
Tb 0.000 0.500 0.000
Ga 0.368 0.179 0.737
Ga 0.368 0.558 0.737
Ga 0.632 0.442 0.263
Ga 0.632 0.821 0.263
Pr 0.500 0.000 0.000



# 5
A relaxed structure of BaNbO3, computed with PBE.

Density of states at the Fermi level: 2.8 states/eV/cell
Formation energy without anion corrections: -2.395 eV/atom

Lattice parameters (Å, degrees): 3.164 7.011 7.715 90.00 90.00 90.00
Atoms (fractional coordinates):
O 0.250 0.063 0.811
O 0.750 0.250 0.500
O 0.750 0.563 0.189
O 0.250 0.750 0.500
O 0.250 0.437 0.811
O 0.750 0.937 0.189
Ba 0.750 0.750 0.776
Ba 0.250 0.250 0.224
Nb 0.250 0.750 0.264
Nb 0.750 0.250 0.736



# 6
A relaxed structure of CsGe2RuI, computed with PBE.

Density of states at the Fermi level: 2.5 states/eV/cell
Formation energy without anion corrections: -0.010 eV/atom

Lattice parameters (Å, degrees): 4.877 6.793 4.877 90.00 90.00 90.00
Atoms (fractional coordinates):
Ge 0.500 0.000 0.000
Ge 0.000 0.000 0.500
I 0.500 0.500 0.500
Ru 0.000 0.000 0.000
Cs 0.000 0.500 0.000



# 7
A relaxed structure of TbHo3Th3, computed with PBE.

Density of states at the Fermi level: 7.5 states/eV/cell
Distance to the lowest polymorph of the same formula: 254 meV per atom

Lattice parameters (Å, degrees): 6.837 6.653 6.653 108.90 110.03 110.03
Atoms (fractional coordinates):
Ho 0.968 0.000 0.379
Ho 0.589 0.621 0.621
Ho 0.968 0.379 0.000
Th 0.475 0.458 0.000
Th 0.475 0.000 0.458
Th 0.016 0.542 0.542
Tb 0.484 0.000 0.000



# 8
A relaxed structure of SmDy3Ho2Tm6, computed with PBE.

Density of states at the Fermi level: 16.3 states/eV/cell

Lattice parameters (Å, degrees): 6.092 6.092 11.636 94.99 94.99 119.94
Atoms (fractional coordinates):
Tm 0.418 0.084 0.251
Tm 0.250 0.250 0.750
Tm 0.916 0.582 0.749
Tm 0.750 0.750 0.250
Tm 0.582 0.916 0.749
Tm 0.084 0.418 0.251
Dy 0.500 0.500 0.500
Dy 0.833 0.167 0.500
Dy 0.167 0.833 0.500
Ho 0.667 0.333 0.000
Ho 0.333 0.667 0.000
Sm 0.000 0.000 0.000



# 9
A relaxed structure of RbNa10Ca, computed with PBE.

Density of states at the Fermi level: 7.4 states/eV/cell

Lattice parameters (Å, degrees): 5.896 7.158 12.102 90.00 90.00 90.00
Atoms (fractional coordinates):
Na 0.500 0.264 0.727
Na 0.000 0.000 0.655
Na 0.500 0.736 0.727
Na 0.500 0.000 0.500
Na 0.000 0.000 0.345
Na 0.000 0.500 0.182
Na 0.000 0.500 0.818
Na 0.500 0.736 0.273
Na 0.500 0.264 0.273
Na 0.500 0.500 0.000
Ca 0.000 0.500 0.500
Rb 0.000 0.000 0.000



# 10
A relaxed structure of AcGa4Ge, computed with PBE.

Density of states at the Fermi level: 5.1 states/eV/cell
Distance to the lowest polymorph of the same formula: 0 meV per atom

Lattice parameters (Å, degrees): 5.734 5.734 5.734 60.00 60.00 60.00
Atoms (fractional coordinates):
Ge 0.250 0.250 0.250
Ga 0.129 0.624 0.624
Ga 0.624 0.129 0.624
Ga 0.624 0.624 0.129
Ga 0.624 0.624 0.624
Ac 0.000 0.000 0.000



# 11
A relaxed structure of Np3Tl4ZnSe8, computed with PBE.

Density of states at the Fermi level: 21.5 states/eV/cell
Formation energy without anion corrections: -0.763 eV/atom

Lattice parameters (Å, degrees): 8.296 9.137 8.383 117.57 119.66 90.00
Atoms (fractional coordinates):
Zn 0.000 0.500 0.000
Se 0.225 0.697 0.971
Se 0.735 0.707 0.471
Se 0.768 0.300 0.535
Se 0.254 0.303 0.029
Se 0.775 0.303 0.029
Se 0.746 0.697 0.971
Se 0.265 0.293 0.529
Se 0.232 0.700 0.465
Np 0.000 0.500 0.500
Np 0.500 0.500 0.000
Np 0.500 0.500 0.500
Tl 0.000 0.000 0.000
Tl 0.000 0.000 0.500
Tl 0.500 0.000 0.000
Tl 0.500 0.000 0.500



# 12
A relaxed structure of Cs2BaSi, computed with PBE.

Density of states at the Fermi level: 0.3 states/eV/cell
Formation energy without anion corrections: 0.440 eV/atom

Lattice parameters (Å, degrees): 6.228 6.228 6.228 60.00 60.00 60.00
Atoms (fractional coordinates):
Cs 0.250 0.250 0.250
Cs 0.750 0.750 0.750
Ba 0.500 0.500 0.500
Si 0.000 0.000 0.000



# 13
A relaxed structure of Na2CaTl7, computed with PBE.

Density of states at the Fermi level: 6.8 states/eV/cell

Lattice parameters (Å, degrees): 5.273 5.273 13.077 90.00 90.00 120.00
Atoms (fractional coordinates):
Tl 0.333 0.667 0.891
Tl 0.000 0.000 0.326
Tl 0.000 0.000 0.775
Tl 0.333 0.667 0.409
Tl 0.667 0.333 0.963
Tl 0.667 0.333 0.516
Tl 0.333 0.667 0.155
Na 0.667 0.333 0.242
Na 0.333 0.667 0.650
Ca 0.000 0.000 0.056



# 14
A relaxed structure of La2GeP, computed with PBE.

Density of states at the Fermi level: 7.7 states/eV/cell
Distance to the lowest polymorph of the same formula: 400 meV per atom

Lattice parameters (Å, degrees): 5.240 5.240 5.240 60.00 60.00 60.00
Atoms (fractional coordinates):
P 0.000 0.000 0.000
Ge 0.500 0.500 0.500
La 0.250 0.250 0.250
La 0.750 0.750 0.750



# 15
A relaxed structure of Ho2TiGa, computed with PBE.

Density of states at the Fermi level: 4.3 states/eV/cell
Distance to the lowest polymorph of the same formula: 375 meV per atom

Lattice parameters (Å, degrees): 3.311 3.311 10.770 81.16 81.16 60.00
Atoms (fractional coordinates):
Ho 0.906 0.906 0.281
Ho 0.094 0.094 0.719
Ti 0.000 0.000 0.000
Ga 0.500 0.500 0.500



# 16
A relaxed structure of Re4IrRh, computed with PBE.

Density of states at the Fermi level: 5.1 states/eV/cell
Distance to the lowest polymorph of the same formula: 469 meV per atom

Lattice parameters (Å, degrees): 5.116 5.116 5.116 60.00 60.00 60.00
Atoms (fractional coordinates):
Re 0.625 0.625 0.625
Re 0.625 0.126 0.625
Re 0.625 0.625 0.126
Re 0.126 0.625 0.625
Rh 0.250 0.250 0.250
Ir 0.000 0.000 0.000



# 17
A relaxed structure of Ho2CO, computed with PBE.

Distance to the lowest polymorph of the same formula: 462 meV per atom
Formation energy without anion corrections: -1.297 eV/atom

Lattice parameters (Å, degrees): 3.791 3.791 6.992 74.27 74.27 60.00
Atoms (fractional coordinates):
Ho 0.898 0.898 0.307
Ho 0.102 0.102 0.693
O 0.000 0.000 0.000
C 0.500 0.500 0.500



# 18
A relaxed structure of MnCoP2, computed with PBE.

Density of states at the Fermi level: 4.1 states/eV/cell
Distance to the lowest polymorph of the same formula: 678 meV per atom

Lattice parameters (Å, degrees): 9.741 9.741 9.741 15.75 15.75 15.75
Atoms (fractional coordinates):
Co 0.494 0.494 0.494
P 0.031 0.031 0.031
P 0.218 0.218 0.218
Mn 0.757 0.757 0.757



Quick rundown of raw total energy, same order as above: -7.94, -9.85, -6.83, -4.29, -7.77, -4.19, -5.50, -4.52, -1.28, -3.62, -5.60, -1.82, -2.19, -5.79, -4.80, -10.57, -7.13, -6.71 eV/atom